# 1
A geometry-optimized Y2TiAg structure, computed with PBE.

POSCAR file:
```
Y2TiAg
1.0
3.4310 0.0000 0.0000
0.0000 3.4310 0.0000
0.0000 0.0000 8.2302
Y Ag Ti
2 1 1
Cartesian
0.0000 0.0000 6.1858
0.0000 0.0000 2.0444
1.7155 1.7155 0.0000
1.7155 1.7155 4.1151
```

Energy of formation (eV per atom): -0.024
ΔE to the lowest computed polymorph (eV per atom): 0.000
DOS(E_F) (states/eV/atom): 0.97

# 2
A geometry-optimized YTiAg2 structure, computed with PBE.

POSCAR file:
```
YTiAg2
1.0
0.9583 -4.3936 -2.0087
-2.4628 -1.4666 -4.0051
2.3031 -0.2717 -4.3450
Y Ag Ti
1 2 1
Cartesian
0.3993 -3.0659 -5.1794
0.1996 -1.5330 -2.5897
0.5989 -4.5989 -7.7692
0.0000 0.0000 0.0000
```

Energy of formation (eV per atom): -0.022
ΔE to the lowest computed polymorph (eV per atom): 0.023
DOS(E_F) (states/eV/atom): 0.74

# 3
A geometry-optimized Y2TiAg structure, computed with PBE.

POSCAR file:
```
Y2TiAg
1.0
4.7563 -2.0015 0.4496
0.7516 -5.0757 -0.7092
2.5097 -1.6836 -4.2069
Y Ag Ti
2 1 1
Cartesian
2.0044 -2.1902 -1.1166
6.0132 -6.5707 -3.3498
4.0088 -4.3805 -2.2332
0.0000 0.0000 0.0000
```

Energy of formation (eV per atom): 0.095
ΔE to the lowest computed polymorph (eV per atom): 0.119
DOS(E_F) (states/eV/atom): 0.99

| no. | DFT total energy (eV per atom) |
| --- | --- |
| 1 | -5.942 |
| 2 | -5.037 |
| 3 | -5.823 |